Record 1
PBE-GGA Zn2CuAu7, optimized geometry; total DFT energy (no corrections) = -2.851 eV per atom; energy above the most stable polymorph in this dataset = 1.35 eV per formula unit; crystal system = orthorhombic
1.0
4.369 0.000 0.000
0.000 7.560 -0.284
0.000 -3.590 6.659
Zn Cu Au
2 1 7
Direct
0.500 0.699 0.301
0.500 0.301 0.699
0.000 0.000 0.000
0.000 0.802 0.198
0.000 0.198 0.802
0.500 0.079 0.295
0.500 0.921 0.705
0.500 0.295 0.079
0.500 0.705 0.921
0.500 0.500 0.500

---

Record 2
PBE-GGA ZnCu5Au8, optimized geometry; total DFT energy (no corrections) = -3.379 eV per atom; crystal system = tetragonal
1.0
6.377 0.000 -2.088
-3.232 5.408 -2.311
0.086 0.000 6.710
Zn Cu Au
1 5 8
Direct
0.250 0.500 0.750
0.028 0.328 0.122
0.878 0.906 0.206
0.794 0.672 0.700
0.500 0.000 0.500
0.300 0.094 0.972
0.141 0.726 0.062
0.938 0.079 0.664
0.753 0.261 0.354
0.646 0.399 0.906
0.507 0.601 0.247
0.585 0.921 0.859
0.336 0.274 0.415
0.094 0.739 0.493

---

Record 3
PBE-GGA ZnCu2Au5, optimized geometry; total DFT energy (no corrections) = -3.270 eV per atom; energy above the most stable polymorph in this dataset = 0.18 eV per formula unit; crystal system = tetragonal
1.0
-5.056 3.359 3.287
3.250 -0.989 6.010
3.627 3.589 -5.336
Zn Cu Au
2 4 10
Direct
0.750 0.750 0.500
0.250 0.250 0.500
0.138 0.362 0.000
0.638 0.138 0.000
0.362 0.862 0.000
0.862 0.638 0.000
0.499 0.689 0.688
0.811 0.001 0.312
0.000 0.000 0.000
0.500 0.500 0.000
0.189 0.999 0.688
0.689 0.189 0.688
0.999 0.499 0.688
0.311 0.811 0.312
0.001 0.501 0.312
0.501 0.311 0.312

---

Record 4
PBE-GGA Zn2Cu3Au2, optimized geometry; total DFT energy (no corrections) = -3.027 eV per atom; energy above the most stable polymorph in this dataset = 0.61 eV per formula unit; crystal system = cubic
1.0
-3.632 4.513 3.103
-3.704 -3.114 -4.446
2.297 -4.342 4.365
Zn Cu Au
4 6 4
Direct
0.000 0.000 0.467
0.500 0.467 0.500
0.533 0.033 0.033
0.967 0.500 0.000
0.749 0.750 0.999
0.751 0.250 0.501
0.001 0.251 0.250
0.499 0.249 0.750
0.250 0.999 0.249
0.750 0.501 0.251
0.000 0.000 0.850
0.500 0.850 0.500
0.150 0.650 0.650
0.350 0.500 0.000

---

Record 5
PBE-GGA Zn5Cu2Au5, optimized geometry; total DFT energy (no corrections) = -2.733 eV per atom; crystal system = monoclinic
1.0
3.757 0.000 0.000
-1.879 8.058 -1.352
0.000 -5.529 7.130
Zn Cu Au
5 2 5
Direct
0.083 0.166 0.419
0.746 0.492 0.761
0.254 0.508 0.239
0.917 0.834 0.581
0.000 0.000 0.000
0.173 0.345 0.837
0.827 0.655 0.163
0.500 0.000 0.500
0.588 0.176 0.917
0.666 0.332 0.325
0.334 0.668 0.675
0.412 0.824 0.083

---

Record 6
PBE-GGA Zn3Cu2Au3, optimized geometry; total DFT energy (no corrections) = -2.857 eV per atom; energy above the most stable polymorph in this dataset = 0.00 eV per formula unit; crystal system = hexagonal
1.0
2.854 0.000 0.000
0.000 6.227 -3.595
0.000 0.000 7.190
Zn Cu Au
3 2 3
Direct
0.000 0.713 0.713
0.000 0.287 0.000
0.000 0.000 0.287
0.000 0.333 0.667
0.000 0.667 0.333
0.500 0.349 0.349
0.500 0.651 0.000
0.500 0.000 0.651